VASP calculation (PBE-GGA) on crystalline Al2ReSi at its relaxed geometry.

Cell: 3.3012 3.3012 5.2301 Å, 90.00 90.00 90.00°
With the nearest neighbours (Å) after each atom.
Space group P4/mmm (No. 123)
Symmetry-distinct sites (fractional):
Al 0.0000 0.0000 0.2481  2 Al 2.60-2.63, 4 Re 2.67, 4 Si 2.68
Re 0.5000 0.5000 0.0000  2 Si 2.62, 8 Al 2.67
Si 0.5000 0.5000 0.5000  2 Re 2.62, 8 Al 2.68

Properties
formation energy (no corrections)	-0.194	eV per atom
calculated volume	57	Å³/cell
crystal system	tetragonal

=====

VASP calculation (PBE-GGA) on crystalline AlReSi2 at its relaxed geometry.

Cell: 3.1331 4.1156 4.3114 Å, 90.00 90.00 90.00°
With the nearest neighbours (Å) after each atom.
Space group Pmmm (No. 47)
Symmetry-distinct sites (fractional):
Al 0.0000 0.0000 0.0000  4 Si 2.59, 4 Re 2.66
Re 0.5000 0.0000 0.5000  4 Si 2.59, 4 Al 2.66
Si 0.0000 0.5000 0.5000  4 Re 2.59, 4 Si 2.66
Si 0.5000 0.5000 0.0000  4 Al 2.59, 4 Si 2.66

Properties
formation energy (no corrections)	0.183	eV per atom
calculated volume	56	Å³/cell
crystal system	orthorhombic

=====

VASP calculation (PBE-GGA) on crystalline AlReSi2 at its relaxed geometry.

Cell: 3.1023 3.0983 6.1992 Å, 90.00 99.16 90.00°
With the nearest neighbours (Å) after each atom.
Space group P2/m (No. 10)
Symmetry-distinct sites (fractional):
Al 0.0000 0.0000 0.0000  4 Si 2.57
Re 0.0000 0.0000 0.5000  8 Si 2.54-2.59
Si 0.4451 0.5000 0.2818  4 Re 2.54-2.59, 2 Al 2.57, 1 Si 2.67

Properties
formation energy (no corrections)	-0.010	eV per atom
calculated volume	59	Å³/cell
crystal system	monoclinic

=====

VASP calculation (PBE-GGA) on crystalline Al6Re2Si at its relaxed geometry.

Cell: 13.0461 3.2760 7.2161 Å, 90.00 119.71 90.00°
With the nearest neighbours (Å) after each atom.
Space group C2/m (No. 12)
Symmetry-distinct sites (fractional):
Al 0.1086 0.0000 0.1561  6 Al 2.60-2.81, 4 Re 2.70
Al 0.1646 0.5000 0.5100  1 Re 2.62, 2 Si 2.67, 7 Al 2.69-2.83
Al 0.2151 0.0000 0.8405  6 Al 2.59-2.81, 1 Si 2.66, 3 Re 2.66-2.83
Re 0.0489 0.5000 0.8205  8 Al 2.62-2.83, 2 Si 2.64
Si 0.0000 0.0000 0.5000  4 Re 2.64, 6 Al 2.66-2.67

Properties
formation energy (no corrections)	-0.133	eV per atom
calculated volume	268	Å³/cell
crystal system	monoclinic

=====

VASP calculation (PBE-GGA) on crystalline Al17Re4Si2 at its relaxed geometry.

Cell: 12.9213 12.9213 12.9213 Å, 90.00 90.00 90.00°
With the nearest neighbours (Å) after each atom.
Space group Pm-3 (No. 200)
Symmetry-distinct sites (fractional):
Al 0.0000 0.0000 0.3653  2 Re 2.75, 10 Al 2.76-2.98
Al 0.0000 0.1646 0.1024  1 Re 2.50, 5 Al 2.63-2.65
Al 0.0000 0.5000 0.3135  2 Re 2.62, 2 Si 2.62, 8 Al 2.74-2.85
Al 0.1043 0.5000 0.1289  3 Re 2.56-2.81, 6 Al 2.69-2.76
Al 0.1114 0.5000 0.5000  2 Re 2.69, 7 Al 2.81-2.97
Al 0.1213 0.1868 0.3044  1 Si 2.63, 2 Re 2.68-2.69, 5 Al 2.74-2.94
Al 0.1916 0.3912 0.3143  3 Re 2.70-2.95, 7 Al 2.74-3.01, 1 Si 2.89
Al 0.3319 0.3981 0.5000  1 Re 2.50, 5 Al 2.63-2.68
Re 0.0000 0.3265 0.2090  7 Al 2.50-2.75, 1 Si 2.51
Re 0.1655 0.2991 0.5000  2 Si 2.49, 7 Al 2.50-2.76
Si 0.0000 0.3180 0.4028  3 Re 2.49-2.51, 1 Si 2.51, 3 Al 2.62-2.63

Properties
formation energy (no corrections)	-0.231	eV per atom
calculated volume	2157	Å³/cell
crystal system	cubic

=====

VASP calculation (PBE-GGA) on crystalline AlReSi2 at its relaxed geometry.

Cell: 3.3183 4.3479 7.7258 Å, 90.00 90.00 90.00°
With the nearest neighbours (Å) after each atom.
Space group Immm (No. 71)
Symmetry-distinct sites (fractional):
Al 0.0000 0.0000 0.0000  4 Si 2.51, 4 Re 2.73
Re 0.0000 0.0000 0.5000  8 Si 2.58-2.88, 4 Al 2.73
Si 0.0000 0.5000 0.2560  2 Al 2.51, 2 Re 2.58, 4 Si 2.74

Properties
formation energy (no corrections)	0.091	eV per atom
calculated volume	111	Å³/cell
crystal system	orthorhombic

=====

VASP calculation (PBE-GGA) on crystalline Al2Re4Si at its relaxed geometry.

Cell: 4.3296 4.3296 12.8088 Å, 90.00 90.00 90.00°
With the nearest neighbours (Å) after each atom.
Space group I4/mmm (No. 139)
Symmetry-distinct sites (fractional):
Al 0.0000 0.0000 0.1280  5 Re 2.47-2.72
Re 0.0000 0.0000 0.3207  1 Si 2.30, 1 Al 2.47
Re 0.0000 0.5000 0.0000  2 Si 2.16
Si 0.0000 0.0000 0.5000  6 Re 2.16-2.30

Properties
formation energy (no corrections)	1.010	eV per atom
calculated volume	240	Å³/cell
crystal system	tetragonal

=====

VASP calculation (PBE-GGA) on crystalline AlReSi2 at its relaxed geometry.

Cell: 4.2015 4.2015 3.1538 Å, 90.00 90.00 90.00°
With the nearest neighbours (Å) after each atom.
Space group P4/mmm (No. 123)
Symmetry-distinct sites (fractional):
Al 0.0000 0.0000 0.0000  8 Si 2.63
Re 0.5000 0.5000 0.0000  8 Si 2.63
Si 0.0000 0.5000 0.5000  4 Re 2.63, 4 Al 2.63

Properties
formation energy (no corrections)	0.163	eV per atom
calculated volume	56	Å³/cell
crystal system	tetragonal

=====

VASP calculation (PBE-GGA) on crystalline AlReSi2 at its relaxed geometry.

Cell: 3.2661 4.2585 7.9266 Å, 90.00 90.00 90.00°
With the nearest neighbours (Å) after each atom.
Space group Imm2 (No. 44)
Symmetry-distinct sites (fractional):
Al 0.0000 0.0000 0.0000  6 Si 2.54-2.69, 4 Re 2.66-2.83
Re 0.0000 0.5000 0.7650  8 Si 2.61-2.88, 4 Al 2.66-2.83
Si 0.0000 0.0000 0.5213  2 Si 2.47, 2 Re 2.61, 4 Al 2.69
Si 0.0000 0.5000 0.2542  2 Si 2.47, 2 Al 2.54, 4 Re 2.68

Properties
formation energy (no corrections)	0.063	eV per atom
calculated volume	110	Å³/cell
crystal system	orthorhombic

=====

VASP calculation (PBE-GGA) on crystalline Al2ReSi2 at its relaxed geometry.

Cell: 3.5158 3.5158 12.3151 Å, 90.00 90.00 90.00°
With the nearest neighbours (Å) after each atom.
Space group I4/mmm (No. 139)
Symmetry-distinct sites (fractional):
Al 0.0000 0.5000 0.2500  4 Al 2.49, 4 Si 2.59
Re 0.0000 0.0000 0.0000  8 Si 2.75
Si 0.0000 0.0000 0.4040  1 Si 2.36, 4 Al 2.59

Properties
formation energy (no corrections)	0.551	eV per atom
distance to the lowest polymorph of the same formula	2.803	eV per formula unit
calculated volume	152	Å³/cell
crystal system	tetragonal

=====

VASP calculation (PBE-GGA) on crystalline AlReSi2 at its relaxed geometry.

Cell: 3.2270 3.2270 5.2478 Å, 90.00 90.00 90.00°
With the nearest neighbours (Å) after each atom.
Space group P4mm (No. 99)
Symmetry-distinct sites (fractional):
Al 0.0000 0.0000 0.0000  6 Si 2.59-2.66, 4 Re 2.69
Re 0.5000 0.5000 0.2727  6 Si 2.54-2.71, 4 Al 2.69
Si 0.0000 0.0000 0.5065  2 Al 2.59-2.66, 4 Re 2.59, 4 Si 2.63
Si 0.5000 0.5000 0.7566  2 Re 2.54-2.71, 4 Al 2.62, 4 Si 2.63

Properties
formation energy (no corrections)	-0.062	eV per atom
calculated volume	55	Å³/cell
crystal system	tetragonal

=====

VASP calculation (PBE-GGA) on crystalline AlReSi2 at its relaxed geometry.

Cell: 8.8214 3.0293 4.2620 Å, 90.00 96.07 90.00°
With the nearest neighbours (Å) after each atom.
Space group Cm (No. 8)
Symmetry-distinct sites (fractional):
Al 0.0000 0.0000 0.0000  7 Si 2.51-2.75, 3 Re 2.64-2.81
Re 0.2533 0.0000 0.7226  7 Si 2.60-2.64, 3 Al 2.64-2.81
Si 0.0244 0.5000 0.5155  1 Si 2.44, 4 Al 2.59-2.66, 3 Re 2.60-2.64
Si 0.2484 0.5000 0.2254  1 Si 2.44, 1 Al 2.51, 4 Re 2.60-2.63

Properties
formation energy (no corrections)	0.009	eV per atom
calculated volume	113	Å³/cell
crystal system	monoclinic